DFT (PBE-GGA) results for crystalline CaPr2In2Ag2 at its relaxed geometry. Values from VASP.

```
&SYSTEM
  ibrav = 0, nat = 7, ntyp = 4
/
ATOMIC_SPECIES
In 114.82 In.upf
Ca 40.08 Ca.upf
Pr 140.91 Pr.upf
Ag 107.87 Ag.upf
ATOMIC_POSITIONS crystal
In 0.2614 0.2614 0.2158
In 0.7386 0.7386 0.7842
Ca 0.0000 0.0000 0.0000
Pr 0.8738 0.8738 0.3786
Pr 0.1262 0.1262 0.6214
Ag 0.6012 0.6012 0.1965
Ag 0.3988 0.3988 0.8035
CELL_PARAMETERS angstrom
-1.8828 0.6048 4.5041
-4.3127 -2.0620 1.1602
2.3829 -8.1629 4.7784
```

Calculated values
SG: R-3m, No. 166
Calculated total energy in eV per cell: -24.78

DFT (PBE-GGA) results for crystalline CaScInAg at its relaxed geometry. Values from VASP.

```
&SYSTEM
  ibrav = 0, nat = 4, ntyp = 4
/
ATOMIC_SPECIES
Sc 44.96 Sc.upf
In 114.82 In.upf
Ca 40.08 Ca.upf
Ag 107.87 Ag.upf
ATOMIC_POSITIONS crystal
Sc 0.5000 0.5000 0.5000
In 0.2500 0.2500 0.2500
Ca 0.0000 0.0000 0.0000
Ag 0.7500 0.7500 0.7500
CELL_PARAMETERS angstrom
-4.0801 3.1140 0.2414
-4.5322 -1.8225 1.5939
-1.8793 1.4231 4.5657
```

Calculated values
SG: F-43m, No. 216
Calculated total energy in eV per cell: -15.23

DFT (PBE-GGA) results for crystalline CaSm2In2Ag2 at its relaxed geometry. Values from VASP.

```
&SYSTEM
  ibrav = 0, nat = 7, ntyp = 4
/
ATOMIC_SPECIES
In 114.82 In.upf
Sm 150.36 Sm.upf
Ag 107.87 Ag.upf
Ca 40.08 Ca.upf
ATOMIC_POSITIONS crystal
In 0.7413 0.7413 0.7760
In 0.2587 0.2587 0.2240
Sm 0.1266 0.1266 0.6202
Sm 0.8734 0.8734 0.3798
Ag 0.5972 0.5972 0.2083
Ag 0.4028 0.4028 0.7917
Ca 0.0000 0.0000 0.0000
CELL_PARAMETERS angstrom
4.9028 0.0000 0.0000
2.4514 4.2459 0.0000
2.4514 1.4153 9.1925
```

Calculated values
SG: R-3m, No. 166
Calculated total energy in eV per cell: -24.60

DFT (PBE-GGA) results for crystalline CaSmInAg at its relaxed geometry. Values from VASP.

```
&SYSTEM
  ibrav = 0, nat = 4, ntyp = 4
/
ATOMIC_SPECIES
In 114.82 In.upf
Ag 107.87 Ag.upf
Sm 150.36 Sm.upf
Ca 40.08 Ca.upf
ATOMIC_POSITIONS crystal
In 0.7500 0.7500 0.7500
Ag 0.2500 0.2500 0.2500
Sm 0.0000 0.0000 0.0000
Ca 0.5000 0.5000 0.5000
CELL_PARAMETERS angstrom
-0.5075 -5.1339 -1.3792
1.7426 -1.6698 -4.7636
4.3228 -3.1190 -0.3185
```

Calculated values
SG: F-43m, No. 216
Calculated total energy in eV per cell: -13.91

DFT (PBE-GGA) results for crystalline Ca2InAg4Sn3 at its relaxed geometry. Values from VASP.

```
&SYSTEM
  ibrav = 0, nat = 10, ntyp = 4
/
ATOMIC_SPECIES
Ag 107.87 Ag.upf
Ca 40.08 Ca.upf
In 114.82 In.upf
Sn 118.71 Sn.upf
ATOMIC_POSITIONS crystal
Ag 0.5000 0.5000 0.0000
Ag 0.5000 0.0000 0.6429
Ag 0.0000 0.5000 0.3571
Ag 0.0000 0.0000 0.0000
Ca 0.0000 0.5000 0.7644
Ca 0.5000 0.0000 0.2356
In 0.5000 0.5000 0.5000
Sn 0.0000 0.0000 0.5000
Sn 0.5000 0.0000 0.8640
Sn 0.0000 0.5000 0.1360
CELL_PARAMETERS angstrom
4.5296 0.0000 0.0000
0.0000 4.5296 0.0000
0.0000 0.0000 12.1016
```

Calculated values
SG: P-4m2, No. 115
Calculated total energy in eV per cell: -32.84

DFT (PBE-GGA) results for crystalline SrCaIn2Ag4 at its relaxed geometry. Values from VASP.

```
&SYSTEM
  ibrav = 0, nat = 8, ntyp = 4
/
ATOMIC_SPECIES
Ag 107.87 Ag.upf
In 114.82 In.upf
Sr 87.62 Sr.upf
Ca 40.08 Ca.upf
ATOMIC_POSITIONS crystal
Ag 0.6101 0.6101 0.1696
Ag 0.3899 0.3899 0.8304
Ag 0.8781 0.8781 0.3658
Ag 0.1219 0.1219 0.6342
In 0.7547 0.7547 0.7359
In 0.2453 0.2453 0.2641
Sr 0.0000 0.0000 0.0000
Ca 0.5000 0.5000 0.5000
CELL_PARAMETERS angstrom
-4.0135 2.0390 2.0817
-4.0174 0.9361 -2.7539
-5.8394 -7.1259 1.6299
```

Calculated values
SG: R-3m, No. 166
Calculated total energy in eV per cell: -22.69

DFT (PBE-GGA) results for crystalline CaTaInAg2 at its relaxed geometry. Values from VASP.

```
&SYSTEM
  ibrav = 0, nat = 5, ntyp = 4
/
ATOMIC_SPECIES
Ag 107.87 Ag.upf
In 114.82 In.upf
Ca 40.08 Ca.upf
Ta 180.95 Ta.upf
ATOMIC_POSITIONS crystal
Ag 0.0000 0.0000 0.5000
Ag 0.5000 0.0000 0.0000
In 0.5000 0.5000 0.5000
Ca 0.0000 0.0000 0.0000
Ta 0.0000 0.5000 0.0000
CELL_PARAMETERS angstrom
5.0721 0.0000 0.0000
0.0000 5.3573 0.0000
0.0000 0.0000 5.0721
```

Calculated values
SG: P4/mmm, No. 123
Calculated total energy in eV per cell: -14.54

DFT (PBE-GGA) results for crystalline CaTbInAg at its relaxed geometry. Values from VASP.

```
&SYSTEM
  ibrav = 0, nat = 4, ntyp = 4
/
ATOMIC_SPECIES
Tb 158.93 Tb.upf
Ca 40.08 Ca.upf
In 114.82 In.upf
Ag 107.87 Ag.upf
ATOMIC_POSITIONS crystal
Tb 0.5000 0.5000 0.5000
Ca 0.0000 0.0000 0.0000
In 0.7500 0.7500 0.7500
Ag 0.2500 0.2500 0.2500
CELL_PARAMETERS angstrom
-4.3939 1.7334 -2.3889
-4.5809 -2.5562 0.7066
-3.8611 2.2279 2.8541
```

Calculated values
SG: F-43m, No. 216
Calculated total energy in eV per cell: -13.79

DFT (PBE-GGA) results for crystalline CaThInAg at its relaxed geometry. Values from VASP.

```
&SYSTEM
  ibrav = 0, nat = 4, ntyp = 4
/
ATOMIC_SPECIES
Ag 107.87 Ag.upf
Ca 40.08 Ca.upf
Th 232.04 Th.upf
In 114.82 In.upf
ATOMIC_POSITIONS crystal
Ag 0.2500 0.2500 0.2500
Ca 0.0000 0.0000 0.0000
Th 0.5000 0.5000 0.5000
In 0.7500 0.7500 0.7500
CELL_PARAMETERS angstrom
-4.3588 3.1484 0.1535
-4.8889 -2.1957 0.4616
-2.7688 0.5387 4.5803
```

Calculated values
SG: F-43m, No. 216
Calculated total energy in eV per cell: -15.94

DFT (PBE-GGA) results for crystalline Ca4Tl2InAg at its relaxed geometry. Values from VASP.

```
&SYSTEM
  ibrav = 0, nat = 8, ntyp = 4
/
ATOMIC_SPECIES
Ca 40.08 Ca.upf
Ag 107.87 Ag.upf
Tl 204.38 Tl.upf
In 114.82 In.upf
ATOMIC_POSITIONS crystal
Ca 0.1271 0.1271 0.6188
Ca 0.8729 0.8729 0.3812
Ca 0.3775 0.3775 0.8676
Ca 0.6225 0.6225 0.1324
Ag 0.5000 0.5000 0.5000
Tl 0.7494 0.7494 0.7519
Tl 0.2506 0.2506 0.2481
In 0.0000 0.0000 0.0000
CELL_PARAMETERS angstrom
5.4251 0.0000 0.0000
2.7125 4.6983 0.0000
2.7125 1.5661 8.8512
```

Calculated values
SG: R-3m, No. 166
Calculated total energy in eV per cell: -21.62

DFT (PBE-GGA) results for crystalline CaTmInAg at its relaxed geometry. Values from VASP.

```
&SYSTEM
  ibrav = 0, nat = 4, ntyp = 4
/
ATOMIC_SPECIES
In 114.82 In.upf
Tm 168.93 Tm.upf
Ag 107.87 Ag.upf
Ca 40.08 Ca.upf
ATOMIC_POSITIONS crystal
In 0.5000 0.5000 0.1234
Tm 0.0000 0.0000 0.3744
Ag 0.5000 0.5000 0.5836
Ca 0.0000 0.0000 0.8466
CELL_PARAMETERS angstrom
3.6910 0.0000 0.0000
0.0000 3.6910 0.0000
0.0000 0.0000 7.5761
```

Calculated values
ΔE to the lowest computed polymorph in kJ/mol of formula units: 0
SG: P4mm, No. 99
Calculated total energy in eV per cell: -13.66

DFT (PBE-GGA) results for crystalline CaTmInAg at its relaxed geometry. Values from VASP.

```
&SYSTEM
  ibrav = 0, nat = 4, ntyp = 4
/
ATOMIC_SPECIES
Ag 107.87 Ag.upf
Ca 40.08 Ca.upf
Tm 168.93 Tm.upf
In 114.82 In.upf
ATOMIC_POSITIONS crystal
Ag 0.2500 0.2500 0.2500
Ca 0.5000 0.5000 0.5000
Tm 0.0000 0.0000 0.0000
In 0.7500 0.7500 0.7500
CELL_PARAMETERS angstrom
5.2471 0.0000 0.0000
2.6236 4.5442 0.0000
2.6236 1.5147 4.2843
```

Calculated values
ΔE to the lowest computed polymorph in kJ/mol of formula units: 10
SG: F-43m, No. 216
Calculated total energy in eV per cell: -13.56

DFT (PBE-GGA) results for crystalline CaYInAg at its relaxed geometry. Values from VASP.

```
&SYSTEM
  ibrav = 0, nat = 4, ntyp = 4
/
ATOMIC_SPECIES
Y 88.91 Y.upf
Ag 107.87 Ag.upf
In 114.82 In.upf
Ca 40.08 Ca.upf
ATOMIC_POSITIONS crystal
Y 0.7500 0.7500 0.7500
Ag 0.5000 0.5000 0.5000
In 0.0000 0.0000 0.0000
Ca 0.2500 0.2500 0.2500
CELL_PARAMETERS angstrom
5.2867 0.0000 0.0000
2.6433 4.5784 0.0000
2.6433 1.5261 4.3166
```

Calculated values
SG: F-43m, No. 216
Calculated total energy in eV per cell: -15.67

DFT (PBE-GGA) results for crystalline Ca2Zn4InAg3 at its relaxed geometry. Values from VASP.

```
&SYSTEM
  ibrav = 0, nat = 10, ntyp = 4
/
ATOMIC_SPECIES
Ag 107.87 Ag.upf
Zn 65.41 Zn.upf
Ca 40.08 Ca.upf
In 114.82 In.upf
ATOMIC_POSITIONS crystal
Ag 0.0000 0.0000 0.5000
Ag 0.5000 0.0000 0.8609
Ag 0.0000 0.5000 0.1391
Zn 0.5000 0.0000 0.6493
Zn 0.5000 0.5000 0.0000
Zn 0.0000 0.0000 0.0000
Zn 0.0000 0.5000 0.3507
Ca 0.5000 0.0000 0.2468
Ca 0.0000 0.5000 0.7532
In 0.5000 0.5000 0.5000
CELL_PARAMETERS angstrom
4.2003 0.0000 0.0000
0.0000 4.2003 0.0000
0.0000 0.0000 12.1355
```

Calculated values
SG: P-4m2, No. 115
Calculated total energy in eV per cell: -22.41

DFT (PBE-GGA) results for crystalline CaZnIn2Ag4 at its relaxed geometry. Values from VASP.

```
&SYSTEM
  ibrav = 0, nat = 8, ntyp = 4
/
ATOMIC_SPECIES
Zn 65.41 Zn.upf
Ag 107.87 Ag.upf
Ca 40.08 Ca.upf
In 114.82 In.upf
ATOMIC_POSITIONS crystal
Zn 0.5000 0.5000 0.5000
Ag 0.8659 0.8659 0.4024
Ag 0.3953 0.3953 0.8141
Ag 0.1341 0.1341 0.5976
Ag 0.6047 0.6047 0.1859
Ca 0.0000 0.0000 0.0000
In 0.7484 0.7484 0.7549
In 0.2516 0.2516 0.2451
CELL_PARAMETERS angstrom
4.7583 0.0000 0.0000
2.3791 4.1208 0.0000
2.3791 1.3736 8.5423
```

Calculated values
SG: R-3m, No. 166
Calculated total energy in eV per cell: -21.21

DFT (PBE-GGA) results for crystalline Ca2ZnInAg6 at its relaxed geometry. Values from VASP.

```
&SYSTEM
  ibrav = 0, nat = 10, ntyp = 4
/
ATOMIC_SPECIES
Ag 107.87 Ag.upf
Ca 40.08 Ca.upf
Zn 65.41 Zn.upf
In 114.82 In.upf
ATOMIC_POSITIONS crystal
Ag 0.2594 0.7406 0.0000
Ag 0.2594 0.2594 0.4813
Ag 0.7406 0.7406 0.5187
Ag 0.7406 0.2594 0.0000
Ag 0.7406 0.7406 0.0000
Ag 0.2594 0.2594 0.0000
Ca 0.2500 0.7500 0.5000
Ca 0.7500 0.2500 0.5000
Zn 0.5000 0.5000 0.0000
In 0.0000 0.0000 0.0000
CELL_PARAMETERS angstrom
-6.2276 -3.2285 -1.3686
3.3447 -4.6314 -4.2945
-0.6968 -7.0289 1.0904
```

Calculated values
SG: Fm-3m, No. 225
Calculated total energy in eV per cell: -24.25

DFT (PBE-GGA) results for crystalline Ca2Zn3InAg4 at its relaxed geometry. Values from VASP.

```
&SYSTEM
  ibrav = 0, nat = 10, ntyp = 4
/
ATOMIC_SPECIES
Ag 107.87 Ag.upf
Zn 65.41 Zn.upf
Ca 40.08 Ca.upf
In 114.82 In.upf
ATOMIC_POSITIONS crystal
Ag 0.5000 0.5000 0.0000
Ag 0.0000 0.5000 0.3496
Ag 0.5000 0.0000 0.6504
Ag 0.0000 0.0000 0.0000
Zn 0.0000 0.5000 0.1291
Zn 0.0000 0.0000 0.5000
Zn 0.5000 0.0000 0.8709
Ca 0.0000 0.5000 0.7594
Ca 0.5000 0.0000 0.2406
In 0.5000 0.5000 0.5000
CELL_PARAMETERS angstrom
4.3626 0.0000 0.0000
0.0000 4.3626 0.0000
0.0000 0.0000 11.5203
```

Calculated values
SG: P-4m2, No. 115
Calculated total energy in eV per cell: -23.91

DFT (PBE-GGA) results for crystalline Ca3Zn2InAg9 at its relaxed geometry. Values from VASP.

```
&SYSTEM
  ibrav = 0, nat = 15, ntyp = 4
/
ATOMIC_SPECIES
Ag 107.87 Ag.upf
Ca 40.08 Ca.upf
Zn 65.41 Zn.upf
In 114.82 In.upf
ATOMIC_POSITIONS crystal
Ag 0.5000 0.0000 0.0000
Ag 0.6535 0.8267 0.3190
Ag 0.3465 0.1733 0.6810
Ag 0.5000 0.5000 0.0000
Ag 0.1733 0.3465 0.3190
Ag 0.1733 0.8267 0.3190
Ag 0.8267 0.6535 0.6810
Ag 0.0000 0.5000 0.0000
Ag 0.8267 0.1733 0.6810
Ca 0.6667 0.3333 0.3373
Ca 0.0000 0.0000 0.0000
Ca 0.3333 0.6667 0.6627
Zn 0.3333 0.6667 0.1447
Zn 0.6667 0.3333 0.8553
In 0.0000 0.0000 0.5000
CELL_PARAMETERS angstrom
-2.1231 0.7942 -7.6966
-2.0805 -6.5904 4.0759
-5.7289 2.9758 1.8874
```

Calculated values
SG: P-3m1, No. 164
Calculated total energy in eV per cell: -36.34

DFT (PBE-GGA) results for crystalline Ca2Zn2InAg5 at its relaxed geometry. Values from VASP.

```
&SYSTEM
  ibrav = 0, nat = 20, ntyp = 4
/
ATOMIC_SPECIES
Ag 107.87 Ag.upf
Ca 40.08 Ca.upf
In 114.82 In.upf
Zn 65.41 Zn.upf
ATOMIC_POSITIONS crystal
Ag 0.5000 0.7919 0.9387
Ag 0.5000 0.7081 0.4387
Ag 0.5000 0.4387 0.2919
Ag 0.5000 0.9387 0.2081
Ag 0.5000 0.5000 0.0000
Ag 0.5000 0.0613 0.7919
Ag 0.5000 0.5613 0.7081
Ag 0.5000 0.2919 0.5613
Ag 0.5000 0.2081 0.0613
Ag 0.5000 0.0000 0.5000
Ca 0.0000 0.8211 0.6789
Ca 0.0000 0.1789 0.3211
Ca 0.0000 0.3211 0.8211
Ca 0.0000 0.6789 0.1789
In 0.0000 0.0000 0.0000
In 0.0000 0.5000 0.5000
Zn 0.0000 0.1170 0.6170
Zn 0.0000 0.6170 0.8830
Zn 0.0000 0.3830 0.1170
Zn 0.0000 0.8830 0.3830
CELL_PARAMETERS angstrom
4.1065 0.0000 0.0000
0.0000 10.0930 0.0000
0.0000 0.0000 10.0930
```

Calculated values
SG: P4/mbm, No. 127
Calculated total energy in eV per cell: -50.97

DFT (PBE-GGA) results for crystalline CaZn2InAg5 at its relaxed geometry. Values from VASP.

```
&SYSTEM
  ibrav = 0, nat = 9, ntyp = 4
/
ATOMIC_SPECIES
Ag 107.87 Ag.upf
In 114.82 In.upf
Ca 40.08 Ca.upf
Zn 65.41 Zn.upf
ATOMIC_POSITIONS crystal
Ag 0.0000 0.5000 0.2624
Ag 0.0000 0.5000 0.7376
Ag 0.5000 0.0000 0.2624
Ag 0.5000 0.0000 0.7376
Ag 0.5000 0.5000 0.5000
In 0.0000 0.0000 0.0000
Ca 0.0000 0.0000 0.5000
Zn 0.5000 0.5000 0.1526
Zn 0.5000 0.5000 0.8474
CELL_PARAMETERS angstrom
4.8758 0.0000 0.0000
0.0000 4.8758 0.0000
0.0000 0.0000 7.8334
```

Calculated values
SG: P4/mmm, No. 123
Calculated total energy in eV per cell: -21.59